(1)
Below is a relaxed Re2SiO crystal, with properties calculated at the PBE-GGA level.

Calculated values
**Size of the total moment**: 0.00 μB/cell
**Raw formation energy**: 0.283 eV/atom
**Relative energy among the computed polymorphs**: 0 meV/atom
**Fermi-level density of states**: 0.6792 states/eV/atom

Cell lengths 4.124, 4.124, 4.124 Å; angles 60.00, 60.00, 60.00 degrees
Sites, in units of the cell vectors:
1 Re 0.250 0.250 0.250
2 Re 0.750 0.750 0.750
3 Si 0.000 0.000 0.000
4 O 0.500 0.500 0.500



(2)
Below is a relaxed ReSiO2 crystal, with properties calculated at the PBE-GGA level.

Calculated values
**Size of the total moment**: 0.00 μB/cell
**Raw formation energy**: -1.208 eV/atom
**Fermi-level density of states**: 0.4770 states/eV/atom

Cell lengths 10.294, 10.294, 10.294 Å; angles 14.76, 14.76, 14.76 degrees
Sites, in units of the cell vectors:
1 Re 0.000 0.000 0.000
2 Si 0.500 0.500 0.500
3 O 0.136 0.136 0.136
4 O 0.864 0.864 0.864



(3)
Below is a relaxed ReSiO2 crystal, with properties calculated at the PBE-GGA level.

Calculated values
**Size of the total moment**: 0.00 μB/cell
**Raw formation energy**: -0.367 eV/atom
**Fermi-level density of states**: 0.2352 states/eV/atom

Cell lengths 5.295, 5.295, 5.295 Å; angles 128.25, 128.25, 76.21 degrees
Sites, in units of the cell vectors:
1 Re 0.000 0.000 0.000
2 Re 0.750 0.250 0.500
3 Si 0.250 0.750 0.500
4 Si 0.500 0.500 0.000
5 O 0.241 0.625 0.116
6 O 0.375 0.491 0.616
7 O 0.509 0.125 0.884
8 O 0.875 0.759 0.384



(4)
Below is a relaxed ReSiO crystal, with properties calculated at the PBE-GGA level.

Calculated values
**Size of the total moment**: 0.00 μB/cell
**Raw formation energy**: -0.502 eV/atom
**Fermi-level density of states**: 0.4992 states/eV/atom

Cell lengths 4.977, 2.743, 6.482 Å; angles 90.00, 108.77, 90.00 degrees
Sites, in units of the cell vectors:
1 Re 0.214 0.250 0.475
2 Re 0.786 0.750 0.525
3 Si 0.473 0.750 0.819
4 Si 0.527 0.250 0.181
5 O 0.187 0.250 0.171
6 O 0.813 0.750 0.829



(5)
Below is a relaxed Re2SiO crystal, with properties calculated at the PBE-GGA level.

Calculated values
**Size of the total moment**: 0.00 μB/cell
**Raw formation energy**: 0.529 eV/atom
**Relative energy among the computed polymorphs**: 246 meV/atom
**Fermi-level density of states**: 0.9610 states/eV/atom

Cell lengths 5.681, 5.681, 5.681 Å; angles 123.16, 123.16, 84.60 degrees
Sites, in units of the cell vectors:
1 Re 0.063 0.625 0.938
2 Re 0.375 0.313 0.438
3 Re 0.687 0.125 0.062
4 Re 0.875 0.937 0.562
5 Si 0.250 0.750 0.500
6 Si 0.500 0.500 0.000
7 O 0.000 0.000 0.000
8 O 0.750 0.250 0.500



(6)
Below is a relaxed Re3SiO crystal, with properties calculated at the PBE-GGA level.

Calculated values
**Size of the total moment**: 0.00 μB/cell
**Raw formation energy**: 0.664 eV/atom
**Relative energy among the computed polymorphs**: 0 meV/atom
**Fermi-level density of states**: 1.4625 states/eV/atom

Cell lengths 4.066, 4.066, 4.066 Å; angles 90.00, 90.00, 90.00 degrees
Sites, in units of the cell vectors:
1 Re 0.000 0.000 0.500
2 Re 0.000 0.500 0.000
3 Re 0.500 0.000 0.000
4 Si 0.500 0.500 0.500
5 O 0.000 0.000 0.000



(7)
Below is a relaxed ReSiO2 crystal, with properties calculated at the PBE-GGA level.

Calculated values
**Size of the total moment**: 0.00 μB/cell
**Raw formation energy**: -0.784 eV/atom
**Fermi-level density of states**: 0.5217 states/eV/atom

Cell lengths 6.882, 6.882, 6.882 Å; angles 23.06, 23.06, 23.06 degrees
Sites, in units of the cell vectors:
1 Re 0.000 0.000 0.000
2 Si 0.500 0.500 0.500
3 O 0.404 0.404 0.404
4 O 0.596 0.596 0.596



(8)
Below is a relaxed TlReSiO6 crystal, with properties calculated at the PBE-GGA level.

Calculated values
**Size of the total moment**: 0.00 μB/cell
**Raw formation energy**: -1.707 eV/atom

Cell lengths 4.993, 4.993, 6.312 Å; angles 90.00, 90.00, 120.00 degrees
Sites, in units of the cell vectors:
1 Tl 0.000 0.000 0.000
2 Re 0.667 0.333 0.481
3 Si 0.333 0.667 0.442
4 O 0.008 0.604 0.293
5 O 0.019 0.396 0.623
6 O 0.377 0.981 0.623
7 O 0.396 0.403 0.293
8 O 0.597 0.992 0.293
9 O 0.604 0.623 0.623



What is the size of the total moment in the third record? 0.00 μB/cell